*1*
Compound: Ca2MgCd
Source: Alexandria via LeMat-Bulk
Functional: PBEsol
Structure: optimized geometry

**Magnetic moment**: 0.000 μB per cell

a = 3.773 Å, b = 5.504 Å, c = 11.107 Å
α = 90.00°, β = 90.00°, γ = 90.00°
Space group Imm2 (No. 44)
One atom of each set of equivalent atoms:
Ca 0.000 0.000 0.000 x2
Ca 0.000 0.500 0.208 x2
Mg 0.000 0.500 0.770 x2
Cd 0.000 0.000 0.469 x2

---

*2*
Compound: Ca2MgCd
Source: Alexandria via LeMat-Bulk
Functional: PBEsol
Structure: optimized geometry

**Magnetic moment**: 0.000 μB per cell

a = 3.877 Å, b = 5.402 Å, c = 5.403 Å
α = 90.00°, β = 90.00°, γ = 90.00°
Space group Pmm2 (No. 25)
One atom of each set of equivalent atoms:
Ca 0.000 0.000 0.000 x1
Ca 0.000 0.500 0.499 x1
Mg 0.500 0.500 0.998 x1
Cd 0.500 0.000 0.501 x1

---

Energies relative to the minimum, meV per atom: *1* 39; *2* 0

---

*1*
Compound: Ca2MgCd
Source: Alexandria via LeMat-Bulk
Functional: PBEsol
Structure: optimized geometry

**Magnetic moment**: 0.000 μB per cell

a = 12.135 Å, b = 3.606 Å, c = 5.634 Å
α = 90.00°, β = 111.12°, γ = 90.00°
Space group Cm (No. 8)
One atom of each set of equivalent atoms:
Ca 0.000 0.000 0.000 x2
Ca 0.205 0.000 0.660 x2
Mg 0.265 0.500 0.210 x2
Cd 0.464 0.000 0.480 x2

---

*2*
Compound: Ca2MgCd
Source: Alexandria via LeMat-Bulk
Functional: PBEsol
Structure: optimized geometry

**Magnetic moment**: 0.001 μB per cell

a = 7.671 Å, b = 7.671 Å, c = 7.671 Å
α = 90.00°, β = 90.00°, γ = 90.00°
Space group Fm-3m (No. 225)
One atom of each set of equivalent atoms:
Ca 0.250 0.250 0.250 x8
Mg 0.000 0.000 0.000 x4
Cd 0.000 0.000 0.500 x4

---

*3*
Compound: Ca2MgCd
Source: Alexandria via LeMat-Bulk
Functional: PBEsol
Structure: optimized geometry

**Magnetic moment**: 0.000 μB per cell

a = 3.730 Å, b = 3.730 Å, c = 8.468 Å
α = 90.00°, β = 90.00°, γ = 90.00°
Space group P4mm (No. 99)
One atom of each set of equivalent atoms:
Ca 0.000 0.000 0.000 x1
Ca 0.500 0.500 0.342 x1
Mg 0.500 0.500 0.746 x1
Cd 0.000 0.000 0.571 x1

---

Energies relative to the minimum, meV per atom: *1* 38; *2* 0; *3* 66

---

*1*
Compound: NaCa2Cd2
Source: Alexandria via LeMat-Bulk
Functional: PBEsol
Structure: optimized geometry

**Magnetic moment**: 0.000 μB per cell

a = 8.234 Å, b = 8.234 Å, c = 4.354 Å
α = 90.00°, β = 90.00°, γ = 90.00°
Space group P4/mbm (No. 127)
One atom of each set of equivalent atoms:
Na 0.000 0.000 0.000 x2
Ca 0.166 0.334 0.500 x4
Cd 0.128 0.628 0.000 x4

---

*2*
Compound: NaCa2Cd2
Source: Alexandria via LeMat-Bulk
Functional: PBEsol
Structure: optimized geometry

**Magnetic moment**: 0.000 μB per cell

a = 4.190 Å, b = 4.190 Å, c = 18.356 Å
α = 90.00°, β = 90.00°, γ = 90.00°
Space group I4/mmm (No. 139)
One atom of each set of equivalent atoms:
Na 0.000 0.000 0.000 x2
Ca 0.000 0.000 0.386 x4
Cd 0.000 0.500 0.250 x4

---

Energies relative to the minimum, meV per atom: *1* 0; *2* 205

---

*1*
Compound: Ca2CdPb
Source: Alexandria via LeMat-Bulk
Functional: PBEsol
Structure: optimized geometry

**Magnetic moment**: 0.000 μB per cell

a = 5.324 Å, b = 5.324 Å, c = 3.886 Å
α = 90.00°, β = 90.00°, γ = 90.00°
Space group P4/mmm (No. 123)
One atom of each set of equivalent atoms:
Ca 0.000 0.500 0.000 x2
Cd 0.000 0.000 0.500 x1
Pb 0.500 0.500 0.500 x1

---

*2*
Compound: Ca2CdPb
Source: Alexandria via LeMat-Bulk
Functional: PBEsol
Structure: optimized geometry

**Magnetic moment**: 0.001 μB per cell

a = 7.612 Å, b = 7.612 Å, c = 7.612 Å
α = 90.00°, β = 90.00°, γ = 90.00°
Space group Fm-3m (No. 225)
One atom of each set of equivalent atoms:
Ca 0.250 0.250 0.250 x8
Cd 0.000 0.000 0.000 x4
Pb 0.000 0.000 0.500 x4

---

Energies relative to the minimum, meV per atom: *1* 27; *2* 0

---

*1*
Compound: Ca2CdSb
Source: Alexandria via LeMat-Bulk
Functional: PBEsol
Structure: optimized geometry

**Magnetic moment**: 0.000 μB per cell

a = 4.494 Å, b = 4.422 Å, c = 11.581 Å
α = 90.00°, β = 90.00°, γ = 90.00°
Space group Amm2 (No. 38)
One atom of each set of equivalent atoms:
Ca 0.000 0.000 0.000 x2
Ca 0.500 0.000 0.277 x2
Cd 0.000 0.000 0.725 x2
Sb 0.500 0.000 0.556 x2

---

*2*
Compound: Ca2CdSb
Source: Alexandria via LeMat-Bulk
Functional: PBEsol
Structure: optimized geometry

**Magnetic moment**: 0.000 μB per cell

a = 5.049 Å, b = 5.049 Å, c = 4.221 Å
α = 90.00°, β = 90.00°, γ = 90.00°
Space group P4/mmm (No. 123)
One atom of each set of equivalent atoms:
Ca 0.000 0.500 0.000 x2
Cd 0.000 0.000 0.500 x1
Sb 0.500 0.500 0.500 x1

---

Energies relative to the minimum, meV per atom: *1* 0; *2* 14

---

*1*
Compound: CaCd2Tc
Source: Alexandria via LeMat-Bulk
Functional: PBEsol
Structure: optimized geometry

**Magnetic moment**: 1.587 μB per cell

a = 3.266 Å, b = 4.959 Å, c = 9.858 Å
α = 90.00°, β = 90.00°, γ = 90.00°
Space group Imm2 (No. 44)
One atom of each set of equivalent atoms:
Ca 0.000 0.000 0.000 x2
Cd 0.000 0.000 0.525 x2
Cd 0.000 0.500 0.774 x2
Tc 0.000 0.500 0.251 x2

---

*2*
Compound: CaCd2Tc
Source: Alexandria via LeMat-Bulk
Functional: PBEsol
Structure: optimized geometry

**Magnetic moment**: 0.004 μB per cell

a = 3.152 Å, b = 4.963 Å, c = 10.434 Å
α = 90.00°, β = 90.00°, γ = 90.00°
Space group Immm (No. 71)
One atom of each set of equivalent atoms:
Ca 0.000 0.000 0.000 x2
Cd 0.000 0.500 0.219 x4
Tc 0.000 0.000 0.500 x2

---

Energies relative to the minimum, meV per atom: *1* 14; *2* 0